Entry 1:
Below is a geometry-optimized HgMoRuO6 structure, with properties calculated at the GGA+U level.

abc: 5.2710 5.2710 4.9883
angles: 90.00 90.00 120.00
Last column: nearest neighbours and their distance in Å.
Fractional positions:
Hg 0.0000 0.0000 0.0000  6 O 2.42
Mo 0.6667 0.3333 0.5000  6 O 1.96
Ru 0.3333 0.6667 0.5000  6 O 2.00
O 0.3756 0.0061 0.7151  1 Mo 1.96, 1 Ru 2.00
O 0.3756 0.3696 0.2849  1 Mo 1.96, 1 Ru 2.00
O 0.6304 0.0061 0.2849  1 Mo 1.96, 1 Ru 2.00
O 0.6304 0.6244 0.7151  1 Mo 1.96, 1 Ru 2.00
O 0.9939 0.3696 0.7151  1 Mo 1.96, 1 Ru 2.00
O 0.9939 0.6244 0.2849  1 Mo 1.96, 1 Ru 2.00

Results
Its calculated total energy is -6.124 eV/atom. Its size of the total moment is 2.00 μB per formula unit. The density of states at the Fermi level is 3.2 states/eV/f.u.

Entry 2:
Below is a geometry-optimized HgSbMo2O structure, with properties calculated at the GGA+U level.

abc: 5.6838 5.6838 4.0045
angles: 90.00 90.00 90.00
Last column: nearest neighbours and their distance in Å.
Fractional positions:
Hg 0.0000 0.0000 0.0000  2 O 2.00
Sb 0.5000 0.5000 0.5000  8 Mo 3.48
Mo 0.0000 0.5000 0.0000  2 Hg 2.84
Mo 0.5000 0.0000 0.0000  2 Hg 2.84
O 0.0000 0.0000 0.5000  2 Hg 2.00

Results
Its calculated total energy is -3.625 eV/atom. Its size of the total moment is 8.97 μB per formula unit. The density of states at the Fermi level is 1.4 states/eV/f.u.

Entry 3:
Below is a geometry-optimized HgSbMoO6 structure, with properties calculated at the GGA+U level.

abc: 5.5109 5.5109 5.0501
angles: 91.99 91.99 123.53
Last column: nearest neighbours and their distance in Å.
Fractional positions:
Hg 0.0000 0.0000 0.0000  4 O 2.26-2.44
Sb 0.3585 0.6415 0.5000  6 O 1.98-2.04
Mo 0.6824 0.3176 0.5000  6 O 1.92-2.10
O 0.0000 0.5718 0.2890  1 Mo 1.92, 1 Sb 2.04
O 0.0404 0.3723 0.7219  1 Sb 1.98, 1 Mo 2.10
O 0.3734 0.3296 0.2853  1 Mo 2.02, 1 Sb 2.04, 1 Hg 2.26
O 0.4282 0.0000 0.7110  1 Mo 1.92, 1 Sb 2.04
O 0.6277 0.9596 0.2781  1 Sb 1.98, 1 Mo 2.10
O 0.6704 0.6266 0.7147  1 Mo 2.02, 1 Sb 2.04, 1 Hg 2.26

Results
Its calculated total energy is -5.781 eV/atom. Its size of the total moment is 1.00 μB per formula unit.

Entry 4:
Below is a geometry-optimized SiHgMoO6 structure, with properties calculated at the GGA+U level.

abc: 5.0296 5.0296 5.0062
angles: 90.00 90.00 120.00
Last column: nearest neighbours and their distance in Å.
Fractional positions:
Si 0.0000 0.0000 0.0000  6 O 1.81
Hg 0.6667 0.3333 0.5000  6 O 2.42
Mo 0.3333 0.6667 0.0000  6 O 1.94
O 0.0363 0.3128 0.2039  1 Si 1.81, 1 Mo 1.94
O 0.0363 0.7235 0.7961  1 Si 1.81, 1 Mo 1.94
O 0.2765 0.3128 0.7961  1 Si 1.81, 1 Mo 1.94
O 0.2765 0.9637 0.2039  1 Si 1.81, 1 Mo 1.94
O 0.6872 0.7235 0.2039  1 Si 1.81, 1 Mo 1.94
O 0.6872 0.9637 0.7961  1 Si 1.81, 1 Mo 1.94

Results
Its calculated total energy is -6.281 eV/atom. Its size of the total moment is 0.00 μB per formula unit. The density of states at the Fermi level is 0.0 states/eV/f.u.

Entry 5:
Below is a geometry-optimized Sr2HgMoO6 structure, with properties calculated at the GGA+U level.

abc: 5.6148 5.6148 5.3184
angles: 90.00 90.00 90.00
Last column: nearest neighbours and their distance in Å.
Fractional positions:
Sr 0.0000 0.5000 0.0000  4 O 2.50
Sr 0.5000 0.0000 0.0000  4 O 2.50
Hg 0.0000 0.0000 0.5135  1 O 2.09
Mo 0.5000 0.5000 0.6000  5 O 1.82-1.90
O 0.0000 0.0000 0.1200  1 Hg 2.09
O 0.2737 0.2737 0.7169  1 Mo 1.90
O 0.2737 0.7263 0.7169  1 Mo 1.90
O 0.5000 0.5000 0.2570  1 Mo 1.82
O 0.7263 0.2737 0.7169  1 Mo 1.90
O 0.7263 0.7263 0.7169  1 Mo 1.90

Results
Its calculated total energy is -5.923 eV/atom. Its size of the total moment is 0.04 μB per formula unit. The density of states at the Fermi level is 0.0 states/eV/f.u.

Entry 6:
Below is a geometry-optimized Sr2Hg2MoO6 structure, with properties calculated at the GGA+U level.

abc: 6.1865 6.1865 6.6410
angles: 92.45 92.45 121.16
Last column: nearest neighbours and their distance in Å.
Fractional positions:
Sr 0.1639 0.8361 0.0000  6 O 2.48-2.56
Sr 0.8361 0.1639 0.0000  6 O 2.48-2.56
Hg 0.3168 0.6832 0.5000  2 O 2.31
Hg 0.6832 0.3168 0.5000  2 O 2.31
Mo 0.5000 0.5000 0.0000  6 O 1.91-2.00
O 0.2184 0.2184 0.8482  1 Mo 1.91
O 0.2501 0.5208 0.1680  1 Mo 2.00
O 0.4792 0.7499 0.8320  1 Mo 2.00
O 0.5208 0.2501 0.1680  1 Mo 2.00
O 0.7499 0.4792 0.8320  1 Mo 2.00
O 0.7816 0.7816 0.1518  1 Mo 1.91

Results
Its calculated total energy is -5.317 eV/atom. Its size of the total moment is 0.00 μB per formula unit. The density of states at the Fermi level is 2.2 states/eV/f.u.

Entry 7:
Below is a geometry-optimized TaHgMoO6 structure, with properties calculated at the GGA+U level.

abc: 7.4360 7.4360 7.4360
angles: 121.02 119.02 89.98
Last column: nearest neighbours and their distance in Å.
Fractional positions:
Ta 0.0000 0.0000 0.0000  6 O 1.98-2.01
Ta 0.5000 0.0000 0.5000  6 O 1.98-2.01
Hg 0.4565 0.7065 0.7500  1 O 2.38
Hg 0.5435 0.2935 0.2500  1 O 2.38
Mo 0.0000 0.0000 0.5000  6 O 1.93
Mo 0.0000 0.5000 0.0000  6 O 1.93
O 0.0576 0.3076 0.7500  2 Mo 1.93
O 0.0580 0.3136 0.1169  1 Mo 1.93, 1 Ta 1.98
O 0.0580 0.9411 0.7444  1 Mo 1.93, 1 Ta 1.98
O 0.3033 0.0589 0.6169  1 Mo 1.93, 1 Ta 1.98
O 0.3033 0.6864 0.2444  1 Mo 1.93, 1 Ta 1.98
O 0.3170 0.0670 0.2500  2 Ta 2.01
O 0.6830 0.9330 0.7500  2 Ta 2.01
O 0.6967 0.3136 0.7556  1 Mo 1.93, 1 Ta 1.98
O 0.6967 0.9411 0.3831  1 Mo 1.93, 1 Ta 1.98
O 0.9420 0.0589 0.2556  1 Mo 1.93, 1 Ta 1.98
O 0.9420 0.6864 0.8831  1 Mo 1.93, 1 Ta 1.98
O 0.9424 0.6924 0.2500  2 Mo 1.93

Results
Its calculated total energy is -7.157 eV/atom. Its size of the total moment is 0.00 μB per formula unit. The density of states at the Fermi level is 2.8 states/eV/f.u.

Entry 8:
Below is a geometry-optimized TcHgMo2O structure, with properties calculated at the GGA+U level.

abc: 5.5038 5.5038 5.1787
angles: 90.00 90.00 90.00
Last column: nearest neighbours and their distance in Å.
Fractional positions:
Tc 0.0000 0.0000 0.0000  2 Hg 2.59
Hg 0.0000 0.0000 0.5000  2 Tc 2.59, 4 Mo 2.75
Mo 0.0000 0.5000 0.5000  2 Hg 2.75
Mo 0.5000 0.0000 0.5000  2 Hg 2.75
O 0.5000 0.5000 0.0000  8 Mo 3.78, 4 Tc 3.89

Results
Its calculated total energy is -3.590 eV/atom. Its size of the total moment is 6.80 μB per formula unit. The density of states at the Fermi level is 4.0 states/eV/f.u.

Entry 9:
Below is a geometry-optimized Tc2HgMoO structure, with properties calculated at the GGA+U level.

abc: 4.0434 4.0434 5.1523
angles: 90.00 90.00 90.00
Last column: nearest neighbours and their distance in Å.
Fractional positions:
Tc 0.0000 0.5000 0.0000  2 O 2.02
Tc 0.5000 0.0000 0.0000  2 O 2.02
Hg 0.0000 0.0000 0.5000  2 O 2.58, 4 Mo 2.86
Mo 0.5000 0.5000 0.5000  4 Hg 2.86
O 0.0000 0.0000 0.0000  4 Tc 2.02

Results
Its calculated total energy is -6.064 eV/atom. Its size of the total moment is 0.65 μB per formula unit. The density of states at the Fermi level is 4.0 states/eV/f.u.

Entry 10:
Below is a geometry-optimized HgTe2MoO8 structure, with properties calculated at the GGA+U level.

abc: 6.7091 6.7091 5.6905
angles: 113.09 113.09 48.80
Last column: nearest neighbours and their distance in Å.
Fractional positions:
Hg 0.0000 0.0000 0.0000  2 O 2.10
Te 0.2237 0.2237 0.7296  3 O 1.91-1.95
Te 0.7763 0.7763 0.2704  3 O 1.91-1.95
Mo 0.5000 0.5000 0.5000  6 O 1.83-2.03
O 0.1259 0.6414 0.5072  1 Te 1.95, 1 Mo 2.03
O 0.1731 0.1731 0.0045  1 Te 1.91, 1 Hg 2.10
O 0.3586 0.8741 0.4928  1 Te 1.95, 1 Mo 2.03
O 0.4283 0.4283 0.1444  1 Mo 1.83
O 0.5717 0.5717 0.8556  1 Mo 1.83
O 0.6414 0.1259 0.5072  1 Te 1.95, 1 Mo 2.03
O 0.8269 0.8269 0.9955  1 Te 1.91, 1 Hg 2.10
O 0.8741 0.3586 0.4928  1 Te 1.95, 1 Mo 2.03

Results
Its calculated total energy is -5.432 eV/atom. Its size of the total moment is 0.00 μB per formula unit. The density of states at the Fermi level is 0.0 states/eV/f.u.

Entry 11:
Below is a geometry-optimized HgTeMoO6 structure, with properties calculated at the GGA+U level.

abc: 4.8846 5.5775 5.5790
angles: 60.08 89.99 89.85
Last column: nearest neighbours and their distance in Å.
Fractional positions:
Hg 0.0000 0.0000 0.0000  6 O 2.42-2.48
Te 0.4045 0.6666 0.6664  3 O 1.96-1.97
Mo 0.4918 0.3331 0.3332  3 O 1.81
O 0.2064 0.0000 0.3953  1 Te 1.97
O 0.2064 0.3964 0.6041  1 Te 1.96
O 0.2057 0.6056 0.9986  1 Te 1.97
O 0.6572 0.2860 0.0697  1 Mo 1.81
O 0.6571 0.6427 0.2865  1 Mo 1.81
O 0.6586 0.0703 0.6423  1 Mo 1.81

Results
Its calculated total energy is -5.507 eV/atom. Its size of the total moment is 0.00 μB per formula unit. The density of states at the Fermi level is 0.0 states/eV/f.u.

Entry 12:
Below is a geometry-optimized TlHgMo2O8 structure, with properties calculated at the GGA+U level.

abc: 6.3341 6.3341 6.3341
angles: 108.37 108.37 111.69
Last column: nearest neighbours and their distance in Å.
Fractional positions:
Tl 0.0000 0.0000 0.0000  4 O 2.38
Hg 0.2500 0.7500 0.5000  4 O 2.37
Mo 0.5000 0.5000 0.0000  4 O 1.80
Mo 0.7500 0.2500 0.5000  4 O 1.80
O 0.3477 0.1530 0.8054  1 Mo 1.80
O 0.3477 0.5423 0.1946  1 Mo 1.80
O 0.4043 0.0972 0.3071  1 Mo 1.80
O 0.4577 0.6523 0.8054  1 Mo 1.80
O 0.7901 0.0972 0.6929  1 Mo 1.80
O 0.8470 0.6523 0.1946  1 Mo 1.80
O 0.9028 0.2099 0.3071  1 Mo 1.80
O 0.9028 0.5957 0.6929  1 Mo 1.80

Results
Its calculated total energy is -5.823 eV/atom. Its size of the total moment is 0.60 μB per formula unit. The density of states at the Fermi level is 4.9 states/eV/f.u.

Entry 13:
Below is a geometry-optimized TlHgMoO4 structure, with properties calculated at the GGA+U level.

abc: 6.6777 6.6777 7.6192
angles: 112.76 112.76 70.36
Last column: nearest neighbours and their distance in Å.
Fractional positions:
Tl 0.2156 0.2156 0.1190  2 O 2.30-2.33
Tl 0.7844 0.7844 0.8810  2 O 2.30-2.33
Hg 0.0491 0.0491 0.7001  1 Hg 2.71, 1 Tl 2.83, 1 O 2.84
Hg 0.9509 0.9509 0.2999  1 Hg 2.71, 1 Tl 2.83, 1 O 2.84
Mo 0.3672 0.3672 0.7017  4 O 1.79-1.82
Mo 0.6328 0.6328 0.2983  4 O 1.79-1.82
O 0.1484 0.5191 0.8139  1 Mo 1.79
O 0.2422 0.2422 0.4371  1 Mo 1.82
O 0.4578 0.4578 0.2641  1 Mo 1.80
O 0.4809 0.8516 0.1861  1 Mo 1.79
O 0.5191 0.1484 0.8139  1 Mo 1.79
O 0.5422 0.5422 0.7359  1 Mo 1.80
O 0.7578 0.7578 0.5629  1 Mo 1.82
O 0.8516 0.4809 0.1861  1 Mo 1.79

Results
Its calculated total energy is -5.311 eV/atom. Its size of the total moment is 0.00 μB per formula unit.

Entry 14:
Below is a geometry-optimized TlHgMoO2 structure, with properties calculated at the GGA+U level.

abc: 4.0079 4.0079 6.0940
angles: 90.00 90.00 90.00
Last column: nearest neighbours and their distance in Å.
Fractional positions:
Tl 0.0000 0.0000 0.0000  4 Hg 2.83, 2 Mo 3.05
Hg 0.5000 0.5000 0.0000  4 Tl 2.83
Mo 0.0000 0.0000 0.5000  4 O 2.00
O 0.0000 0.5000 0.5000  2 Mo 2.00
O 0.5000 0.0000 0.5000  2 Mo 2.00

Results
Its calculated total energy is -4.502 eV/atom. Its size of the total moment is 1.50 μB per formula unit. The density of states at the Fermi level is 1.3 states/eV/f.u.

Entry 15:
Below is a geometry-optimized TmHgMo2O8 structure, with properties calculated at the GGA+U level.

abc: 6.0686 6.0686 7.0665
angles: 90.00 90.00 120.00
Last column: nearest neighbours and their distance in Å.
Fractional positions:
Tm 0.0000 0.0000 0.0000  6 O 2.22
Hg 0.0000 0.0000 0.5000  6 O 2.83
Mo 0.3333 0.6667 0.7294  4 O 1.74-1.82
Mo 0.6667 0.3333 0.2706  4 O 1.74-1.82
O 0.1692 0.3385 0.8119  1 Mo 1.82
O 0.1692 0.8308 0.8119  1 Mo 1.82
O 0.3333 0.6667 0.4834  1 Mo 1.74
O 0.3385 0.1692 0.1881  1 Mo 1.82
O 0.6615 0.8308 0.8119  1 Mo 1.82
O 0.6667 0.3333 0.5166  1 Mo 1.74
O 0.8308 0.1692 0.1881  1 Mo 1.82
O 0.8308 0.6615 0.1881  1 Mo 1.82

Results
Its calculated total energy is -6.708 eV/atom. Its size of the total moment is 0.99 μB per formula unit. The density of states at the Fermi level is 1.8 states/eV/f.u.

Entry 16:
Below is a geometry-optimized UHgMoO6 structure, with properties calculated at the GGA+U level.

abc: 5.5807 5.5807 9.7718
angles: 90.00 90.00 120.00
Last column: nearest neighbours and their distance in Å.
Fractional positions:
U 0.3333 0.6667 0.2500  6 O 2.10
U 0.6667 0.3333 0.7500  6 O 2.10
Hg 0.0000 0.0000 0.0000  6 O 2.44
Hg 0.0000 0.0000 0.5000  6 O 2.44
Mo 0.3333 0.6667 0.7500  6 O 2.07
Mo 0.6667 0.3333 0.2500  6 O 2.07
O 0.0043 0.3636 0.6408  1 Mo 2.07, 1 U 2.10
O 0.0043 0.6407 0.8592  1 Mo 2.07, 1 U 2.10
O 0.3593 0.3636 0.8592  1 Mo 2.07, 1 U 2.10
O 0.3593 0.9957 0.6408  1 Mo 2.07, 1 U 2.10
O 0.3636 0.0043 0.1408  1 Mo 2.07, 1 U 2.10
O 0.3636 0.3593 0.3592  1 Mo 2.07, 1 U 2.10
O 0.6364 0.6407 0.6408  1 Mo 2.07, 1 U 2.10
O 0.6364 0.9957 0.8592  1 Mo 2.07, 1 U 2.10
O 0.6407 0.0043 0.3592  1 Mo 2.07, 1 U 2.10
O 0.6407 0.6364 0.1408  1 Mo 2.07, 1 U 2.10
O 0.9957 0.3593 0.1408  1 Mo 2.07, 1 U 2.10
O 0.9957 0.6364 0.3592  1 Mo 2.07, 1 U 2.10

Results
Its calculated total energy is -7.295 eV/atom. Its size of the total moment is 2.02 μB per formula unit. The density of states at the Fermi level is 2.8 states/eV/f.u.

Entry 17:
Below is a geometry-optimized V2HgMoO8 structure, with properties calculated at the GGA+U level.

abc: 5.3863 5.3863 7.7924
angles: 97.85 97.85 64.18
Last column: nearest neighbours and their distance in Å.
Fractional positions:
V 0.1719 0.1719 0.2112  4 O 1.69-1.77
V 0.8281 0.8281 0.7888  4 O 1.69-1.77
Hg 0.5000 0.5000 0.5000  2 O 2.03
Mo 0.5000 0.5000 0.0000  6 O 2.03-2.08
O 0.1946 0.6905 0.8146  1 V 1.77
O 0.2766 0.2766 0.4192  1 V 1.74
O 0.2857 0.2857 0.0598  1 V 1.69
O 0.3095 0.8054 0.1854  1 V 1.77
O 0.6905 0.1946 0.8146  1 V 1.77
O 0.7143 0.7143 0.9402  1 V 1.69
O 0.7234 0.7234 0.5808  1 V 1.74
O 0.8054 0.3095 0.1854  1 V 1.77

Results
Its calculated total energy is -6.734 eV/atom. Its size of the total moment is 2.00 μB per formula unit.

Entry 18:
Below is a geometry-optimized HgMoWO6 structure, with properties calculated at the GGA+U level.

abc: 7.3860 7.3860 7.3860
angles: 120.08 119.93 89.99
Last column: nearest neighbours and their distance in Å.
Fractional positions:
Hg 0.3693 0.1193 0.2500  6 O 3.27-3.38
Hg 0.6307 0.8807 0.7500  6 O 3.27-3.38
Mo 0.0000 0.0000 0.5000  6 O 1.94
Mo 0.0000 0.5000 0.0000  6 O 1.94
W 0.0000 0.5000 0.5000  6 O 1.94
W 0.5000 0.5000 0.0000  6 O 1.94
O 0.0563 0.8063 0.2500  2 Mo 1.94
O 0.0570 0.4433 0.2499  1 Mo 1.94, 1 W 1.94
O 0.0570 0.8071 0.6137  1 Mo 1.94, 1 W 1.94
O 0.3065 0.1929 0.7499  1 Mo 1.94, 1 W 1.94
O 0.3065 0.5567 0.1137  1 Mo 1.94, 1 W 1.94
O 0.3073 0.5572 0.7500  2 W 1.94
O 0.6928 0.4428 0.2500  2 W 1.94
O 0.6935 0.4433 0.8863  1 Mo 1.94, 1 W 1.94
O 0.6935 0.8071 0.2501  1 Mo 1.94, 1 W 1.94
O 0.9430 0.1929 0.3863  1 Mo 1.94, 1 W 1.94
O 0.9430 0.5567 0.7501  1 Mo 1.94, 1 W 1.94
O 0.9437 0.1937 0.7500  2 Mo 1.94

Results
Its calculated total energy is -6.440 eV/atom. Its size of the total moment is 0.00 μB per formula unit.

Entry 19:
Below is a geometry-optimized ZrHgMoO6 structure, with properties calculated at the GGA+U level.

abc: 5.4251 5.4251 4.9061
angles: 90.00 90.00 120.00
Last column: nearest neighbours and their distance in Å.
Fractional positions:
Zr 0.0000 0.0000 0.0000  6 O 2.11
Hg 0.3333 0.6667 0.5000  6 O 2.43
Mo 0.6667 0.3333 0.0000  6 O 1.95
O 0.3556 0.0461 0.7798  1 Mo 1.95, 1 Zr 2.11
O 0.3556 0.3095 0.2202  1 Mo 1.95, 1 Zr 2.11
O 0.6905 0.0461 0.2202  1 Mo 1.95, 1 Zr 2.11
O 0.6905 0.6444 0.7798  1 Mo 1.95, 1 Zr 2.11
O 0.9539 0.3095 0.7798  1 Mo 1.95, 1 Zr 2.11
O 0.9539 0.6444 0.2202  1 Mo 1.95, 1 Zr 2.11

Results
Its calculated total energy is -6.861 eV/atom. Its size of the total moment is 0.00 μB per formula unit. The density of states at the Fermi level is 0.0 states/eV/f.u.